Record 1
{
  "formula": "LaGa3Rh",
  "functional": "PBE-GGA",
  "state": "relaxed",
  "lattice_angstrom": [[4.2920, 0.0000, -0.0870], [0.0000, 6.7667, 0.0000], [-0.1178, 0.0000, 7.2130]],
  "species": ["Rh", "Rh", "Ga", "Ga", "Ga", "Ga", "Ga", "Ga", "La", "La"],
  "frac_coords": [[0.2938, 0.7500, 0.9759], [0.7062, 0.2500, 0.0241], [0.7797, 0.9408, 0.8473], [0.7529, 0.2500, 0.3685], [0.2471, 0.7500, 0.6315], [0.2203, 0.4408, 0.1527], [0.2203, 0.0592, 0.1527], [0.7797, 0.5592, 0.8473], [0.7365, 0.7500, 0.3183], [0.2635, 0.2500, 0.6817]],
  "formation_enthalpy_0k_ev_per_atom": -0.618,
  "relative_energy_mev_per_atom": 0,
  "volume_a3_per_atom": 20.94,
  "dft_energy_ry_per_atom": -0.3594
}

Record 2
{
  "formula": "CaRu3",
  "functional": "PBE-GGA",
  "state": "relaxed",
  "lattice_angstrom": [[-3.5386, -0.9363, 2.5707], [-1.1626, -1.4645, -2.1337], [1.9615, -4.9247, 0.9064]],
  "species": ["Ca", "Ru", "Ru", "Ru"],
  "frac_coords": [[0.0000, 0.0000, 0.0000], [0.5000, 0.3174, 0.2883], [0.5000, 0.6826, 0.7117], [0.0000, 0.5000, 0.5000]],
  "formation_enthalpy_0k_ev_per_atom": 0.518,
  "volume_a3_per_atom": 16.73,
  "dft_energy_ry_per_atom": -0.5100
}

Record 3
{
  "formula": "Cd2RuO5",
  "functional": "PBE-GGA",
  "state": "relaxed",
  "lattice_angstrom": [[3.7131, -0.0031, -1.5891], [-2.6255, 5.3068, -1.0103], [0.3738, -0.1422, 5.9896]],
  "species": ["O", "O", "O", "O", "O", "Cd", "Cd", "Ru"],
  "frac_coords": [[0.2942, 0.2755, 0.3436], [0.7318, 0.7801, 0.7122], [0.1474, 0.3059, 0.8859], [0.0110, 0.7499, 0.1699], [0.5469, 0.0280, 0.0278], [0.5315, 0.6695, 0.2913], [0.6274, 0.3862, 0.7645], [0.1098, 0.0279, 0.0279]],
  "formation_energy_uncorrected_ev_per_atom": -0.84,
  "relative_energy_mev_per_atom": 0,
  "volume_a3_per_atom": 15.00,
  "dft_energy_ry_per_atom": -0.3918
}

Copy entry 2 word for word.
{
  "formula": "CaRu3",
  "functional": "PBE-GGA",
  "state": "relaxed",
  "lattice_angstrom": [[-3.5386, -0.9363, 2.5707], [-1.1626, -1.4645, -2.1337], [1.9615, -4.9247, 0.9064]],
  "species": ["Ca", "Ru", "Ru", "Ru"],
  "frac_coords": [[0.0000, 0.0000, 0.0000], [0.5000, 0.3174, 0.2883], [0.5000, 0.6826, 0.7117], [0.0000, 0.5000, 0.5000]],
  "formation_enthalpy_0k_ev_per_atom": 0.518,
  "volume_a3_per_atom": 16.73,
  "dft_energy_ry_per_atom": -0.5100
}